No. 1
## HfCdTc2 (GGA-PBE)

Data for HfCdTc2 after structural relaxation.

Lattice parameters (Å, degrees): 4.601 4.601 4.601 60.00 60.00 60.00
Sites, in units of the cell vectors:
Cd: 0.750 0.750 0.750
Hf: 0.500 0.500 0.500
Tc: 0.000 0.000 0.000
Tc: 0.250 0.250 0.250

Crystal system: cubic
Formation energy, eV/atom: 0.218
Space group: No. 216
Total moment, μB per formula unit: 0.01



No. 2
## Li2AlZn2SiPd2 (GGA-PBE)

Data for Li2AlZn2SiPd2 after structural relaxation.

Lattice parameters (Å, degrees): 4.278 4.278 6.048 90.00 90.00 90.00
Sites, in units of the cell vectors:
Al: 0.000 0.000 0.000
Li: 0.500 0.000 0.258
Li: 0.000 0.500 0.742
Pd: 0.000 0.500 0.257
Pd: 0.500 0.000 0.743
Si: 0.500 0.500 0.500
Zn: 0.500 0.500 0.000
Zn: 0.000 0.000 0.500

Crystal system: tetragonal
Space group: No. 115
Energy, eV/atom: -3.7184



No. 3
## Lu2Zn2O5 (GGA-PBE)

Data for Lu2Zn2O5 after structural relaxation.

Lattice parameters (Å, degrees): 8.336 3.890 3.890 90.00 90.00 90.00
Sites, in units of the cell vectors:
Lu: 0.244 0.500 0.500
Lu: 0.756 0.500 0.500
O: 0.154 0.500 0.000
O: 0.846 0.500 0.000
O: 0.154 0.000 0.500
O: 0.846 0.000 0.500
O: 0.500 0.500 0.500
Zn: 0.000 0.000 0.000
Zn: 0.500 0.000 0.000

Crystal system: tetragonal
Space group: No. 123
Total moment, μB per formula unit: 0.04
Offset from the most stable computed form, eV/atom: 0.174



No. 4
## ZnCu2SnS4 (GGA-PBE)

Data for ZnCu2SnS4 after structural relaxation.

Lattice parameters (Å, degrees): 6.666 6.666 6.666 131.70 131.70 70.70
Sites, in units of the cell vectors:
Cu: 0.500 0.500 0.000
Cu: 0.250 0.750 0.500
S: 0.136 0.611 0.007
S: 0.871 0.864 0.475
S: 0.389 0.395 0.525
S: 0.605 0.129 0.993
Sn: 0.000 0.000 0.000
Zn: 0.750 0.250 0.500

Crystal system: tetragonal
Space group: No. 82
Offset from the most stable computed form, eV/atom: 0.000



No. 5
## TbCuSi2Tc (GGA-PBE)

Data for TbCuSi2Tc after structural relaxation.

Lattice parameters (Å, degrees): 5.854 5.854 5.854 140.00 140.00 57.85
Sites, in units of the cell vectors:
Cu: 0.000 0.000 0.000
Si: 0.131 0.631 0.500
Si: 0.369 0.869 0.500
Tb: 0.750 0.250 0.500
Tc: 0.500 0.500 0.000

Crystal system: tetragonal
Space group: No. 119
Total moment, μB per formula unit: 0.00
Energy, eV/atom: -6.4818



No. 6
## SiNiPtW (GGA-PBE)

Data for SiNiPtW after structural relaxation.

Lattice parameters (Å, degrees): 4.296 4.296 4.296 60.00 60.00 60.00
Sites, in units of the cell vectors:
Ni: 0.750 0.750 0.750
Pt: 0.250 0.250 0.250
Si: 0.000 0.000 0.000
W: 0.500 0.500 0.500

Crystal system: cubic
Space group: No. 216
Total moment, μB per formula unit: 0.02
Offset from the most stable computed form, eV/atom: 0.200



No. 7
## Cd2GaIr (GGA-PBE)

Data for Cd2GaIr after structural relaxation.

Lattice parameters (Å, degrees): 4.625 4.625 4.625 60.00 60.00 60.00
Sites, in units of the cell vectors:
Cd: 0.000 0.000 0.000
Cd: 0.750 0.750 0.750
Ga: 0.500 0.500 0.500
Ir: 0.250 0.250 0.250

Crystal system: cubic
Space group: No. 216
Total moment, μB per formula unit: 0.01
Energy, eV/atom: -3.3003



No. 8
## Er2HgTe4 (GGA-PBE)

Data for Er2HgTe4 after structural relaxation.

Lattice parameters (Å, degrees): 8.022 8.022 8.022 131.89 131.89 70.41
Sites, in units of the cell vectors:
Er: 0.500 0.500 0.000
Er: 0.250 0.750 0.500
Hg: 0.000 0.000 0.000
Te: 0.406 0.911 0.046
Te: 0.089 0.135 0.495
Te: 0.641 0.594 0.505
Te: 0.865 0.359 0.954

Crystal system: tetragonal
Space group: No. 82
Total moment, μB per formula unit: 0.00
Energy, eV/atom: -3.9210



No. 9
## Ni3Sb2S2 (GGA-PBE)

Data for Ni3Sb2S2 after structural relaxation.

Lattice parameters (Å, degrees): 6.759 6.759 7.824 124.08 124.08 71.86
Sites, in units of the cell vectors:
Ni: 0.500 0.000 0.000
Ni: 0.722 0.278 0.000
Ni: 0.000 0.500 0.000
Ni: 0.278 0.722 0.000
Ni: 0.024 0.024 0.302
Ni: 0.976 0.976 0.698
S: 0.747 0.301 0.302
S: 0.301 0.747 0.302
S: 0.699 0.253 0.698
S: 0.253 0.699 0.698
Sb: 0.216 0.216 0.203
Sb: 0.749 0.749 0.239
Sb: 0.251 0.251 0.761
Sb: 0.784 0.784 0.797

Crystal system: monoclinic
Space group: No. 12
Total moment, μB per formula unit: 0.00
Energy, eV/atom: -5.0608



No. 10
## ZrSbAs (GGA-PBE)

Data for ZrSbAs after structural relaxation.

Lattice parameters (Å, degrees): 9.023 9.023 9.023 154.34 154.34 36.61
Sites, in units of the cell vectors:
As: 0.189 0.189 0.000
As: 0.811 0.811 0.000
Sb: 0.500 0.000 0.500
Sb: 0.000 0.500 0.500
Zr: 0.351 0.351 0.000
Zr: 0.649 0.649 0.000

Crystal system: tetragonal
Space group: No. 139
Total moment, μB per formula unit: 0.00
Offset from the most stable computed form, eV/atom: 0.000



No. 11
## NdPuTh (GGA-PBE)

Data for NdPuTh after structural relaxation.

Lattice parameters (Å, degrees): 5.125 5.125 5.125 60.00 60.00 60.00
Each line ends with the local moment (μB).
Sites, in units of the cell vectors:
Nd: 0.000 0.000 0.000  0.25
Pu: 0.250 0.250 0.250  5.76
Th: 0.500 0.500 0.500  0.48

Crystal system: cubic
Formation energy, eV/atom: 0.736
Space group: No. 216
Total moment, μB per formula unit: 7.08
Offset from the most stable computed form, eV/atom: 0.000



No. 12
## Tb2Cd3Hg3 (GGA-PBE)

Data for Tb2Cd3Hg3 after structural relaxation.

Lattice parameters (Å, degrees): 6.631 6.631 4.935 90.00 90.00 120.00
Sites, in units of the cell vectors:
Cd: 0.162 0.324 0.500
Cd: 0.162 0.838 0.500
Cd: 0.676 0.838 0.500
Hg: 0.330 0.165 0.000
Hg: 0.835 0.165 0.000
Hg: 0.835 0.670 0.000
Tb: 0.333 0.667 0.000
Tb: 0.667 0.333 0.500

Crystal system: hexagonal
Formation energy, eV/atom: -0.334
Space group: No. 187
Total moment, μB per formula unit: 0.01
Offset from the most stable computed form, eV/atom: 0.009



No. 13
## CoCuSnPt (GGA-PBE)

Data for CoCuSnPt after structural relaxation.

Lattice parameters (Å, degrees): 4.372 4.372 4.372 60.00 60.00 60.00
Each line ends with the local moment (μB).
Sites, in units of the cell vectors:
Co: 0.750 0.750 0.750  0.94
Cu: 0.500 0.500 0.500  -0.03
Pt: 0.250 0.250 0.250  0.05
Sn: 0.000 0.000 0.000  -0.03

Crystal system: cubic
Space group: No. 216
Total moment, μB per formula unit: 0.89
Offset from the most stable computed form, eV/atom: 0.000



No. 14
## ZrScAsO (GGA-PBE)

Data for ZrScAsO after structural relaxation.

Lattice parameters (Å, degrees): 3.790 7.499 5.374 90.00 90.00 90.00
Sites, in units of the cell vectors:
As: 0.000 0.371 0.439
As: 0.000 0.629 0.939
O: 0.500 0.838 0.385
O: 0.500 0.162 0.885
Sc: 0.000 0.737 0.448
Sc: 0.000 0.263 0.948
Zr: 0.500 0.122 0.482
Zr: 0.500 0.878 0.982

Crystal system: orthorhombic
Space group: No. 26
Total moment, μB per formula unit: 0.02
Offset from the most stable computed form, eV/atom: 0.030



No. 15
## LaTmGa4Ir2 (GGA-PBE)

Data for LaTmGa4Ir2 after structural relaxation.

Lattice parameters (Å, degrees): 4.213 7.285 5.498 90.00 111.97 90.00
Sites, in units of the cell vectors:
Ga: 0.648 0.309 0.300
Ga: 0.648 0.691 0.300
Ga: 0.353 0.205 0.701
Ga: 0.353 0.795 0.701
Ir: 0.209 0.500 0.425
Ir: 0.793 0.000 0.578
La: 0.066 0.000 0.136
Tm: 0.930 0.500 0.859

Crystal system: monoclinic
Space group: No. 6
Total moment, μB per formula unit: 0.01
Energy, eV/atom: -5.6235



No. 16
## NaPr (GGA-PBE)

Data for NaPr after structural relaxation.

Lattice parameters (Å, degrees): 5.056 5.056 5.056 60.00 60.00 60.00
Each line ends with the local moment (μB).
Sites, in units of the cell vectors:
Na: 0.000 0.000 0.000  0.02
Pr: 0.250 0.250 0.250  0.25

Crystal system: cubic
Space group: No. 216
Total moment, μB per formula unit: 0.70
Offset from the most stable computed form, eV/atom: 1.176



No. 17
## PaAlPb (GGA-PBE)

Data for PaAlPb after structural relaxation.

Lattice parameters (Å, degrees): 5.061 5.061 5.061 60.00 60.00 60.00
Sites, in units of the cell vectors:
Al: 0.250 0.250 0.250
Pa: 0.000 0.000 0.000
Pb: 0.750 0.750 0.750

Crystal system: cubic
Space group: No. 216
Total moment, μB per formula unit: 1.32
Offset from the most stable computed form, eV/atom: 0.133



No. 18
## ThHAu (GGA-PBE)

Data for ThHAu after structural relaxation.

Lattice parameters (Å, degrees): 3.957 4.421 12.391 90.00 90.02 90.00
Sites, in units of the cell vectors:
Au: 0.000 0.500 0.072
Au: 0.501 0.000 0.428
Au: 0.499 0.500 0.572
Au: 0.000 0.000 0.928
H: 0.501 0.500 0.244
H: 0.001 0.000 0.256
H: 0.999 0.500 0.744
H: 0.499 0.000 0.756
Th: 0.501 0.000 0.150
Th: 0.001 0.500 0.350
Th: 0.999 0.000 0.650
Th: 0.499 0.500 0.850

Crystal system: orthorhombic
Space group: No. 62
Total moment, μB per formula unit: 0.00
Energy, eV/atom: -5.3261



No. 19
## PIrPbO (GGA-PBE)

Data for PIrPbO after structural relaxation.

Lattice parameters (Å, degrees): 3.883 6.498 6.203 90.00 90.00 90.00
Sites, in units of the cell vectors:
Ir: 0.000 0.153 0.465
Ir: 0.000 0.847 0.965
O: 0.500 0.212 0.405
O: 0.500 0.788 0.905
P: 0.000 0.836 0.324
P: 0.000 0.164 0.824
Pb: 0.500 0.400 0.060
Pb: 0.500 0.600 0.560

Crystal system: orthorhombic
Space group: No. 26
Total moment, μB per formula unit: 0.00
Offset from the most stable computed form, eV/atom: 0.582



No. 20
## Dy3ErNi4 (GGA-PBE)

Data for Dy3ErNi4 after structural relaxation.

Lattice parameters (Å, degrees): 5.402 4.165 7.027 90.00 90.02 90.00
Sites, in units of the cell vectors:
Dy: 0.130 0.500 0.180
Dy: 0.370 0.500 0.680
Dy: 0.870 0.000 0.820
Er: 0.630 0.000 0.320
Ni: 0.625 0.500 0.038
Ni: 0.125 0.000 0.462
Ni: 0.875 0.500 0.538
Ni: 0.375 0.000 0.962

Crystal system: monoclinic
Formation energy, eV/atom: -0.468
Space group: No. 6
Total moment, μB per formula unit: 0.00



No. 21
## SrGdNi2Ge4 (GGA-PBE)

Data for SrGdNi2Ge4 after structural relaxation.

Lattice parameters (Å, degrees): 4.181 8.822 8.822 27.92 90.00 90.00
Sites, in units of the cell vectors:
Gd: 0.000 0.111 0.111
Ge: 0.500 0.248 0.248
Ge: 0.000 0.459 0.459
Ge: 0.500 0.545 0.545
Ge: 0.000 0.747 0.747
Ni: 0.000 0.317 0.317
Ni: 0.500 0.679 0.679
Sr: 0.500 0.894 0.894

Crystal system: orthorhombic
Space group: No. 38
Total moment, μB per formula unit: 0.00
Energy, eV/atom: -5.1161



No. 22
## KHfTlSe3 (GGA-PBE)

Data for KHfTlSe3 after structural relaxation.

Lattice parameters (Å, degrees): 9.484 4.039 9.814 90.00 98.46 90.00
Sites, in units of the cell vectors:
Hf: 0.589 0.750 0.200
Hf: 0.411 0.250 0.800
K: 0.218 0.750 0.450
K: 0.782 0.250 0.550
Se: 0.639 0.250 0.012
Se: 0.850 0.750 0.297
Se: 0.473 0.250 0.323
Se: 0.527 0.750 0.677
Se: 0.150 0.250 0.703
Se: 0.361 0.750 0.988
Tl: 0.142 0.250 0.027
Tl: 0.858 0.750 0.973

Crystal system: monoclinic
Space group: No. 11
Total moment, μB per formula unit: 0.00
Offset from the most stable computed form, eV/atom: 0.078



No. 23
## ReSbPO (GGA-PBE)

Data for ReSbPO after structural relaxation.

Lattice parameters (Å, degrees): 4.263 6.116 5.295 90.00 90.00 90.00
Sites, in units of the cell vectors:
O: 0.000 0.248 0.336
O: 0.000 0.752 0.836
P: 0.500 0.730 0.457
P: 0.500 0.270 0.957
Re: 0.000 0.436 0.006
Re: 0.000 0.564 0.506
Sb: 0.500 0.200 0.455
Sb: 0.500 0.800 0.955

Crystal system: orthorhombic
Space group: No. 26
Total moment, μB per formula unit: 0.00
Offset from the most stable computed form, eV/atom: 0.291



No. 24
## DyCu3N4 (GGA-PBE)

Data for DyCu3N4 after structural relaxation.

Lattice parameters (Å, degrees): 5.268 5.268 5.268 129.29 129.29 74.55
Each line ends with the local moment (μB).
Sites, in units of the cell vectors:
Cu: 0.500 0.500 0.000  -0.03
Cu: 0.750 0.250 0.500  -0.04
Cu: 0.250 0.750 0.500  -0.04
Dy: 0.000 0.000 0.000  -0.07
N: 0.276 0.276 0.000  -0.05
N: 0.724 0.724 0.000  -0.05
N: 0.500 0.000 0.500  -0.22
N: 0.000 0.500 0.500  -0.14

Crystal system: tetragonal
Space group: No. 139
Total moment, μB per formula unit: 0.72
Energy, eV/atom: -5.7148



No. 25
## MoI (GGA-PBE)

Data for MoI after structural relaxation.

Lattice parameters (Å, degrees): 3.372 3.372 4.190 90.00 90.00 120.00
Sites, in units of the cell vectors:
I: 0.667 0.333 0.750
Mo: 0.333 0.667 0.250

Crystal system: hexagonal
Space group: No. 187
Total moment, μB per formula unit: 0.01
Offset from the most stable computed form, eV/atom: 0.249



No. 26
## Sm2AgIr (GGA-PBE)

Data for Sm2AgIr after structural relaxation.

Lattice parameters (Å, degrees): 4.562 5.747 5.747 39.83 90.00 90.00
Sites, in units of the cell vectors:
Ag: 0.000 0.706 0.706
Ir: 0.500 0.538 0.538
Sm: 0.500 0.267 0.267
Sm: 0.000 0.989 0.989

Crystal system: orthorhombic
Formation energy, eV/atom: -0.492
Space group: No. 38
Total moment, μB per formula unit: 0.01